Record 1
Entry from Alexandria via LeMat-Bulk: a geometry-optimized CoCuSnAs2 structure (PBE-GGA).

Computed properties:
space group = P4/mmm, No. 123
ΔH_f (0 K) = 1.3845 eV/atom

Unit cell a=5.295 b=5.295 c=4.718 alpha=90.00 beta=90.00 gamma=90.00
Element x y z (fractional)
Co: 0.000 0.000 0.000
Cu: 0.500 0.500 0.000
Sn: 0.500 0.500 0.500
As: 0.000 0.500 0.500
As: 0.500 0.000 0.500

=====

Record 2
Entry from Alexandria via LeMat-Bulk: a geometry-optimized SrCoCu2As structure (PBE-GGA).

Computed properties:
space group = P4/mmm, No. 123
ΔH_f (0 K) = 0.5500 eV/atom

Unit cell a=4.546 b=4.546 c=6.049 alpha=90.00 beta=90.00 gamma=90.00
Element x y z (fractional)
Sr: 0.000 0.000 0.000
Co: 0.500 0.500 0.000
Cu: 0.000 0.500 0.500
Cu: 0.500 0.000 0.500
As: 0.000 0.000 0.500

=====

Record 3
Entry from Alexandria via LeMat-Bulk: a geometry-optimized Th2Co3CuAs4 structure (PBE-GGA).

Computed properties:
space group = P-4m2, No. 115
ΔH_f (0 K) = -0.7405 eV/atom

Unit cell a=4.225 b=4.225 c=9.388 alpha=90.00 beta=90.00 gamma=90.00
Element x y z (fractional)
Th: 0.000 0.500 0.249
Th: 0.500 0.000 0.751
Co: 0.000 0.500 0.887
Co: 0.500 0.000 0.113
Co: 0.500 0.500 0.500
Cu: 0.000 0.000 0.500
As: 0.000 0.000 0.000
As: 0.000 0.500 0.635
As: 0.500 0.000 0.365
As: 0.500 0.500 0.000

=====

Record 4
Entry from Alexandria via LeMat-Bulk: a geometry-optimized Tl2CoCuAs structure (PBE-GGA).

Computed properties:
space group = P4/mmm, No. 123
ΔH_f (0 K) = 0.8010 eV/atom

Unit cell a=5.061 b=5.061 c=4.622 alpha=90.00 beta=90.00 gamma=90.00
Element x y z (fractional)
Tl: 0.000 0.500 0.000
Tl: 0.500 0.000 0.000
Co: 0.000 0.000 0.500
Cu: 0.000 0.000 0.000
As: 0.500 0.500 0.500

=====

Record 5
Entry from Alexandria via LeMat-Bulk: a geometry-optimized DyCo5As3 structure (PBE-GGA).

Computed properties:
space group = Cmcm, No. 63
ΔH_f (0 K) = -0.4378 eV/atom

Unit cell a=6.215 b=6.215 c=11.691 alpha=90.00 beta=90.00 gamma=145.31
Element x y z (fractional)
Dy: 0.158 0.842 0.750
Dy: 0.842 0.158 0.250
Co: 0.000 0.000 0.000
Co: 0.000 0.000 0.500
Co: 0.195 0.805 0.070
Co: 0.195 0.805 0.430
Co: 0.448 0.552 0.642
Co: 0.448 0.552 0.858
Co: 0.552 0.448 0.142
Co: 0.552 0.448 0.358
Co: 0.805 0.195 0.570
Co: 0.805 0.195 0.930
As: 0.110 0.890 0.250
As: 0.381 0.619 0.045
As: 0.381 0.619 0.455
As: 0.619 0.381 0.545
As: 0.619 0.381 0.955
As: 0.890 0.110 0.750

=====

Record 6
Entry from Alexandria via LeMat-Bulk: a geometry-optimized Dy2Co12As7 structure (PBE-GGA).

Computed properties:
space group = P-6, No. 174
ΔH_f (0 K) = -0.4678 eV/atom

Unit cell a=9.355 b=9.355 c=3.729 alpha=90.00 beta=90.00 gamma=120.00
Element x y z (fractional)
Dy: 0.000 0.000 0.000
Dy: 0.333 0.667 0.500
Co: 0.047 0.281 0.500
Co: 0.101 0.710 0.000
Co: 0.235 0.953 0.500
Co: 0.290 0.392 0.000
Co: 0.390 0.179 0.000
Co: 0.541 0.435 0.500
Co: 0.565 0.106 0.500
Co: 0.608 0.899 0.000
Co: 0.719 0.765 0.500
Co: 0.789 0.610 0.000
Co: 0.821 0.211 0.000
Co: 0.894 0.459 0.500
As: 0.074 0.449 0.000
As: 0.261 0.221 0.500
As: 0.375 0.926 0.000
As: 0.551 0.625 0.000
As: 0.667 0.333 0.000
As: 0.779 0.040 0.500
As: 0.960 0.739 0.500

=====

Record 7
Entry from Alexandria via LeMat-Bulk: a geometry-optimized DyCoAsH2 structure (PBE-GGA).

Computed properties:
space group = Cmcm, No. 63
E = -5.219 eV/atom

Unit cell a=5.370 b=5.370 c=6.104 alpha=90.00 beta=90.00 gamma=139.22
Element x y z (fractional)
Dy: 0.216 0.784 0.750
Dy: 0.784 0.216 0.250
Co: 0.500 0.500 0.000
Co: 0.500 0.500 0.500
As: 0.063 0.937 0.250
As: 0.937 0.063 0.750
H: 0.341 0.659 0.056
H: 0.341 0.659 0.444
H: 0.659 0.341 0.556
H: 0.659 0.341 0.944

=====

Record 8
Entry from Alexandria via LeMat-Bulk: a geometry-optimized Dy2CoNi3As4 structure (PBE-GGA).

Computed properties:
space group = P-4m2, No. 115
ΔH_f (0 K) = -0.7618 eV/atom

Unit cell a=4.110 b=4.110 c=9.546 alpha=90.00 beta=90.00 gamma=90.00
Element x y z (fractional)
Dy: 0.000 0.500 0.247
Dy: 0.500 0.000 0.753
Co: 0.500 0.500 0.000
Ni: 0.000 0.000 0.000
Ni: 0.000 0.500 0.624
Ni: 0.500 0.000 0.376
As: 0.000 0.000 0.500
As: 0.000 0.500 0.868
As: 0.500 0.000 0.132
As: 0.500 0.500 0.500

=====

no.,density (Mg/m³)
1,4.909
2,4.631
3,9.948
4,8.502
5,8.811
6,9.145
7,8.622
8,8.852